# K2Ni3AgF12 | the Alexandria database | PBE with a Hubbard U | optimized geometry
data_K2Ni3AgF12
_cell_length_a 7.2688
_cell_length_b 7.2688
_cell_length_c 18.0238
_cell_angle_alpha 90.00
_cell_angle_beta 90.00
_cell_angle_gamma 120.00
_space_group_name_H-M_alt 'R -3 m'
_space_group_IT_number 166
_space_group_name_Hall '-R 3 2"'
loop_
_atom_site_label
_atom_site_fract_x
_atom_site_fract_y
_atom_site_fract_z
K1 0.0000 0.0000 0.1138
Ni1 0.0000 0.5000 0.0000
Ag1 0.0000 0.0000 0.5000
F1 0.0385 0.5193 0.1112
F2 0.0681 0.5340 0.3493
# total DFT energy (no corrections)	-0.2885	Ry per atom
# crystal system	trigonal
# Fermi-level density of states	0.215	states/eV/atom
# size of the total moment	7.040	μB/f.u.
# V	275	Å³/f.u.